Entry 1:
DFT (GGA-PBE) results for a relaxed structure of AcDy3Tc.

energy of formation = 86 meV/atom
V = 32.77 Å³ per atom
symmetry = Pm-3m
theoretical density = 8.24 Mg/m³
E_tot = -5.57 eV/atom
DOS at the Fermi energy = 1.64 states/eV per atom
total magnetic moment = 0.00 μB/f.u.

Lattice parameters (Å, degrees): 5.472 5.472 5.472 90.00 90.00 90.00
Element x y z (fractional)
Ac1 0.500 0.500 0.500
Tc1 0.000 0.000 0.000
Dy1 0.000 0.500 0.000
Dy2 0.000 0.000 0.500
Dy3 0.500 0.000 0.000


Entry 2:
DFT (GGA-PBE) results for a relaxed structure of MnVSiNi.

V = 11.54 Å³ per atom
symmetry = F-43m
theoretical density = 6.93 Mg/m³
E_tot = -7.74 eV/atom
ΔE_f (raw) = -0.362 eV/atom
DOS at the Fermi energy = 0.98 states/eV per atom
total magnetic moment = 1.63 μB/f.u.

Lattice parameters (Å, degrees): 4.026 4.026 4.026 60.00 60.00 60.00
Site moments in Bohr magnetons follow the coordinates.
Element x y z (fractional)
Ni1 0.500 0.500 0.500  0.61
Si1 0.750 0.750 0.750  0.01
Mn1 0.000 0.000 0.000  0.45
V1 0.250 0.250 0.250  0.51